Entry 1:
The following is a DFT calculation (PBEsol) of KVH6SeO9 after structural relaxation.

Cell lengths 6.3506, 9.8025, 6.5467 Å; angles 90.00, 107.11, 90.00 degrees
Last column: nearest neighbours and their distance in Å.
Positions (direct):
1 K 0.1746 0.0000 0.1709  7 O 2.71-2.99
2 K 0.8254 0.5000 0.8291  7 O 2.71-2.99
3 V 0.1236 0.3456 0.3955  2 O 1.63-1.66
4 V 0.8764 0.8456 0.6045  2 O 1.63-1.66
5 H 0.0329 0.1122 0.6521  1 O 1.00
6 H 0.1932 0.6123 0.2695  1 O 1.03
7 H 0.2702 0.5557 0.6945  1 O 1.00
8 H 0.3168 0.4226 0.8278  1 O 1.00
9 H 0.3910 0.6763 0.0754  1 O 0.99
10 H 0.4700 0.1964 0.6869  1 O 1.00
11 H 0.5300 0.6964 0.3131  1 O 1.00
12 H 0.6090 0.1763 0.9246  1 O 0.99
13 H 0.6832 0.9226 0.1722  1 O 1.00
14 H 0.7298 0.0557 0.3055  1 O 1.00
15 H 0.8068 0.1123 0.7305  1 O 1.03
16 H 0.9671 0.6122 0.3479  1 O 1.00
17 Se 0.4173 0.8467 0.7318  4 O 1.64-1.69
18 Se 0.5827 0.3467 0.2682  4 O 1.64-1.69
19 O 0.0499 0.2903 0.1505  1 V 1.63
20 O 0.0647 0.5546 0.2868  2 H 1.00-1.03
21 O 0.1650 0.8737 0.5581  1 Se 1.69
22 O 0.1915 0.2050 0.5429  1 V 1.66, 2 H 1.67-1.74
23 O 0.2067 0.4630 0.7006  2 H 1.00
24 O 0.3757 0.7014 0.2164  2 H 0.99-1.00
25 O 0.4291 0.4017 0.4228  1 Se 1.69
26 O 0.4535 0.6831 0.7913  1 Se 1.65, 1 H 1.70
27 O 0.4599 0.9418 0.9457  1 Se 1.64, 1 H 1.73
28 O 0.5401 0.4418 0.0543  1 Se 1.64, 1 H 1.73
29 O 0.5465 0.1831 0.2087  1 Se 1.65, 1 H 1.70
30 O 0.5709 0.9017 0.5772  1 Se 1.69
31 O 0.6243 0.2014 0.7836  2 H 0.99-1.00
32 O 0.7933 0.9630 0.2994  2 H 1.00
33 O 0.8085 0.7050 0.4571  1 V 1.66, 2 H 1.67-1.74
34 O 0.8350 0.3737 0.4419  1 Se 1.69
35 O 0.9353 0.0546 0.7132  2 H 1.00-1.03
36 O 0.9501 0.7903 0.8495  1 V 1.63

Computed properties:
Space group: P2_1 (4)
V in Å³/atom: 10.82
E in Ha/atom: -0.2148

---

Entry 2:
The following is a DFT calculation (PBEsol) of KSr4Si8H17O29 after structural relaxation.

Cell lengths 9.0803, 9.0803, 16.2829 Å; angles 90.00, 90.00, 90.00 degrees
Last column: nearest neighbours and their distance in Å.
Positions (direct):
1 K 0.0000 0.0000 0.0000  8 O 2.92-2.94
2 K 0.5000 0.5000 0.5000  8 O 2.92-2.94
3 Sr 0.1141 0.2620 0.5007  7 O 2.52-2.60, 1 H 2.81
4 Sr 0.2380 0.3859 0.0007  7 O 2.52-2.60, 1 H 2.81
5 Sr 0.2620 0.8859 0.5007  7 O 2.52-2.60, 1 H 2.81
6 Sr 0.3859 0.7620 0.0007  7 O 2.52-2.60, 1 H 2.81
7 Sr 0.6141 0.2380 0.0007  7 O 2.52-2.60, 1 H 2.81
8 Sr 0.7380 0.1141 0.5007  7 O 2.52-2.60, 1 H 2.81
9 Sr 0.7620 0.6141 0.0007  7 O 2.52-2.60, 1 H 2.81
10 Sr 0.8859 0.7380 0.5007  7 O 2.52-2.60, 1 H 2.81
11 Si 0.0891 0.7744 0.6890  4 O 1.60-1.65
12 Si 0.0896 0.7746 0.3088  4 O 1.60-1.65
13 Si 0.2254 0.0896 0.3088  4 O 1.60-1.65
14 Si 0.2256 0.0891 0.6890  4 O 1.60-1.65
15 Si 0.2744 0.5891 0.1890  4 O 1.60-1.65
16 Si 0.2746 0.5896 0.8088  4 O 1.60-1.65
17 Si 0.4104 0.2746 0.8088  4 O 1.60-1.65
18 Si 0.4109 0.2744 0.1890  4 O 1.60-1.65
19 Si 0.5891 0.7256 0.1890  4 O 1.60-1.65
20 Si 0.5896 0.7254 0.8088  4 O 1.60-1.65
21 Si 0.7254 0.4104 0.8088  4 O 1.60-1.65
22 Si 0.7256 0.4109 0.1890  4 O 1.60-1.65
23 Si 0.7744 0.9109 0.6890  4 O 1.60-1.65
24 Si 0.7746 0.9104 0.3088  4 O 1.60-1.65
25 Si 0.9104 0.2254 0.3088  4 O 1.60-1.65
26 Si 0.9109 0.2256 0.6890  4 O 1.60-1.65
27 H 0.0000 0.0000 0.4346  1 O 0.98
28 H 0.0607 0.2646 0.8496  1 O 0.98
29 H 0.0617 0.2600 0.1510  1 O 0.98
30 H 0.0663 0.6799 0.0939  1 O 1.02
31 H 0.0683 0.6775 0.9061  1 O 1.02
32 H 0.1775 0.5683 0.4061  1 O 1.02
33 H 0.1799 0.5663 0.5939  1 O 1.02
34 H 0.2354 0.4393 0.3496  1 O 0.98
35 H 0.2400 0.4383 0.6510  1 O 0.98
36 H 0.2600 0.9383 0.1510  1 O 0.98
37 H 0.2646 0.9393 0.8496  1 O 0.98
38 H 0.3201 0.0663 0.0939  1 O 1.02
39 H 0.3225 0.0683 0.9061  1 O 1.02
40 H 0.4317 0.1775 0.4061  1 O 1.02
41 H 0.4337 0.1799 0.5939  1 O 1.02
42 H 0.4383 0.7600 0.6510  1 O 0.98
43 H 0.4393 0.7646 0.3496  1 O 0.98
44 H 0.5000 0.5000 0.9346  1 O 0.98
45 H 0.5607 0.2354 0.3496  1 O 0.98
46 H 0.5617 0.2400 0.6510  1 O 0.98
47 H 0.5663 0.8201 0.5939  1 O 1.02
48 H 0.5683 0.8225 0.4061  1 O 1.02
49 H 0.6775 0.9317 0.9061  1 O 1.02
50 H 0.6799 0.9337 0.0939  1 O 1.02
51 H 0.7354 0.0607 0.8496  1 O 0.98
52 H 0.7400 0.0617 0.1510  1 O 0.98
53 H 0.7600 0.5617 0.6510  1 O 0.98
54 H 0.7646 0.5607 0.3496  1 O 0.98
55 H 0.8201 0.4337 0.5939  1 O 1.02
56 H 0.8225 0.4317 0.4061  1 O 1.02
57 H 0.9317 0.3225 0.9061  1 O 1.02
58 H 0.9337 0.3201 0.0939  1 O 1.02
59 H 0.9383 0.7400 0.1510  1 O 0.98
60 H 0.9393 0.7354 0.8496  1 O 0.98
61 O 0.0000 0.0000 0.4947  1 H 0.98
62 O 0.0343 0.2764 0.9077  2 H 0.98-1.02
63 O 0.0359 0.2728 0.0928  2 H 0.98-1.02
64 O 0.0816 0.1898 0.2824  2 Si 1.64-1.65
65 O 0.0821 0.1899 0.7145  2 Si 1.64-1.65
66 O 0.1069 0.7317 0.4038  1 Si 1.60, 1 H 1.62
67 O 0.1077 0.7281 0.5944  1 Si 1.60, 1 H 1.61
68 O 0.1393 0.6406 0.7496  2 Si 1.63
69 O 0.1406 0.6393 0.2496  2 Si 1.63
70 O 0.1898 0.9184 0.2824  2 Si 1.64-1.65
71 O 0.1899 0.9179 0.7145  2 Si 1.64-1.65
72 O 0.2236 0.4657 0.4077  2 H 0.98-1.02
73 O 0.2272 0.4641 0.5928  2 H 0.98-1.02
74 O 0.2281 0.6077 0.0944  1 Si 1.60, 1 H 1.61
75 O 0.2317 0.6069 0.9038  1 Si 1.60, 1 H 1.62
76 O 0.2683 0.1069 0.4038  1 Si 1.60, 1 H 1.62
77 O 0.2719 0.1077 0.5944  1 Si 1.60, 1 H 1.61
78 O 0.2728 0.9641 0.0928  2 H 0.98-1.02
79 O 0.2764 0.9657 0.9077  2 H 0.98-1.02
80 O 0.3101 0.4179 0.2145  2 Si 1.64-1.65
81 O 0.3102 0.4184 0.7824  2 Si 1.64-1.65
82 O 0.3594 0.1393 0.7496  2 Si 1.63
83 O 0.3607 0.1406 0.2496  2 Si 1.63
84 O 0.3923 0.2281 0.0944  1 Si 1.60, 1 H 1.61
85 O 0.3931 0.2317 0.9038  1 Si 1.60, 1 H 1.62
86 O 0.4179 0.6899 0.2145  2 Si 1.64-1.65
87 O 0.4184 0.6898 0.7824  2 Si 1.64-1.65
88 O 0.4641 0.7728 0.5928  2 H 0.98-1.02
89 O 0.4657 0.7764 0.4077  2 H 0.98-1.02
90 O 0.5000 0.5000 0.9947  1 H 0.98
91 O 0.5343 0.2236 0.4077  2 H 0.98-1.02
92 O 0.5359 0.2272 0.5928  2 H 0.98-1.02
93 O 0.5821 0.3101 0.2145  2 Si 1.64-1.65
94 O 0.5816 0.3102 0.7824  2 Si 1.64-1.65
95 O 0.6069 0.7683 0.9038  1 Si 1.60, 1 H 1.62
96 O 0.6077 0.7719 0.0944  1 Si 1.60, 1 H 1.61
97 O 0.6393 0.8594 0.2496  2 Si 1.63
98 O 0.6406 0.8607 0.7496  2 Si 1.63
99 O 0.6899 0.5821 0.2145  2 Si 1.64-1.65
100 O 0.6898 0.5816 0.7824  2 Si 1.64-1.65
101 O 0.7236 0.0343 0.9077  2 H 0.98-1.02
102 O 0.7272 0.0359 0.0928  2 H 0.98-1.02
103 O 0.7281 0.8923 0.5944  1 Si 1.60, 1 H 1.61
104 O 0.7317 0.8931 0.4038  1 Si 1.60, 1 H 1.62
105 O 0.7683 0.3931 0.9038  1 Si 1.60, 1 H 1.62
106 O 0.7719 0.3923 0.0944  1 Si 1.60, 1 H 1.61
107 O 0.7728 0.5359 0.5928  2 H 0.98-1.02
108 O 0.7764 0.5343 0.4077  2 H 0.98-1.02
109 O 0.8102 0.0816 0.2824  2 Si 1.64-1.65
110 O 0.8101 0.0821 0.7145  2 Si 1.64-1.65
111 O 0.8594 0.3607 0.2496  2 Si 1.63
112 O 0.8607 0.3594 0.7496  2 Si 1.63
113 O 0.8923 0.2719 0.5944  1 Si 1.60, 1 H 1.61
114 O 0.8931 0.2683 0.4038  1 Si 1.60, 1 H 1.62
115 O 0.9184 0.8102 0.2824  2 Si 1.64-1.65
116 O 0.9179 0.8101 0.7145  2 Si 1.64-1.65
117 O 0.9641 0.7272 0.0928  2 H 0.98-1.02
118 O 0.9657 0.7236 0.9077  2 H 0.98-1.02

Computed properties:
Space group: P4nc (104)
V in Å³/atom: 11.38
E in Ha/atom: -0.2414

---

| no. | M_tot (μB per formula unit) |
| --- | --- |
| 1 | 0.1 |
| 2 | 0.1 |